Record 1
{"formula": "Tm4Cu2Hg5", "functional": "PBE-GGA", "state": "relaxed", "volume_a3_per_cell": 251.9, "total_magnetization_mub_per_fu": 0.00, "spacegroup": "P2/m (10)", "dos_ef_per_ev_atom": 0.80, "cell": [[7.463, 0.000, 0.000], [0.000, 3.612, 0.000], [-0.501, 0.000, 9.344]], "species": ["Tm", "Tm", "Tm", "Tm", "Cu", "Cu", "Hg", "Hg", "Hg", "Hg", "Hg"], "frac_coords": [[0.182, 0.000, 0.353], [0.231, 0.000, 0.932], [0.769, 0.000, 0.068], [0.818, 0.000, 0.647], [0.064, 0.500, 0.126], [0.936, 0.500, 0.874], [0.159, 0.500, 0.644], [0.441, 0.500, 0.169], [0.500, 0.500, 0.500], [0.559, 0.500, 0.831], [0.841, 0.500, 0.356]]}


Record 2
{"formula": "TbCdGe2Pd5", "functional": "PBE-GGA", "state": "relaxed", "volume_a3_per_cell": 161.8, "total_magnetization_mub_per_fu": 0.00, "spacegroup": "P4/mmm (123)", "dos_ef_per_ev_atom": 0.54, "cell": [[4.245, 0.000, 0.000], [0.000, 4.245, 0.000], [0.000, 0.000, 8.979]], "species": ["Tb", "Cd", "Ge", "Ge", "Pd", "Pd", "Pd", "Pd", "Pd"], "frac_coords": [[0.000, 0.000, 0.000], [0.000, 0.000, 0.500], [0.500, 0.500, 0.366], [0.500, 0.500, 0.634], [0.000, 0.500, 0.228], [0.000, 0.500, 0.772], [0.500, 0.000, 0.228], [0.500, 0.000, 0.772], [0.500, 0.500, 0.000]]}


Record 3
{"formula": "KSiMo2", "functional": "PBE-GGA", "state": "relaxed", "volume_a3_per_cell": 206.4, "total_magnetization_mub_per_fu": 0.00, "spacegroup": "I-42d (122)", "dos_ef_per_ev_atom": 1.15, "cell": [[-2.374, 2.374, 9.151], [2.374, -2.374, 9.151], [2.374, 2.374, -9.151]], "species": ["K", "K", "Si", "Si", "Mo", "Mo", "Mo", "Mo"], "frac_coords": [[0.000, 0.000, 0.000], [0.750, 0.250, 0.500], [0.250, 0.750, 0.500], [0.500, 0.500, 0.000], [0.346, 0.125, 0.721], [0.375, 0.654, 0.779], [0.404, 0.625, 0.279], [0.875, 0.596, 0.221]]}


Record 4
{"formula": "NaY5Te6", "functional": "PBE-GGA", "state": "relaxed", "volume_a3_per_cell": 357.3, "total_magnetization_mub_per_fu": 0.00, "spacegroup": "C2/m (12)", "dos_ef_per_ev_atom": 0.49, "cell": [[3.788, -6.559, 0.000], [3.788, 6.559, 0.000], [-2.530, 0.000, 7.190]], "species": ["Na", "Y", "Y", "Y", "Y", "Y", "Te", "Te", "Te", "Te", "Te", "Te"], "frac_coords": [[0.000, 0.000, 0.000], [0.164, 0.836, 0.500], [0.335, 0.665, 0.000], [0.500, 0.500, 0.500], [0.665, 0.335, 0.000], [0.836, 0.164, 0.500], [0.083, 0.417, 0.251], [0.250, 0.250, 0.754], [0.417, 0.083, 0.251], [0.583, 0.917, 0.749], [0.750, 0.750, 0.246], [0.917, 0.583, 0.749]]}


Record 5
{"formula": "PmNd4Hg2", "functional": "PBE-GGA", "state": "relaxed", "volume_a3_per_cell": 436.3, "total_magnetization_mub_per_fu": 0.00, "spacegroup": "P1 (1)", "dos_ef_per_ev_atom": 1.12, "cell": [[6.097, 0.000, 0.000], [2.303, 8.890, 0.000], [2.273, 3.811, 8.050]], "species": ["Pm", "Pm", "Nd", "Nd", "Nd", "Nd", "Nd", "Nd", "Nd", "Nd", "Hg", "Hg", "Hg", "Hg"], "frac_coords": [[0.000, 0.000, 0.000], [0.252, 0.965, 0.298], [0.032, 0.398, 0.069], [0.082, 0.777, 0.731], [0.416, 0.528, 0.494], [0.488, 0.198, 0.868], [0.528, 0.254, 0.268], [0.579, 0.746, 0.054], [0.753, 0.786, 0.471], [0.946, 0.218, 0.518], [0.077, 0.610, 0.242], [0.454, 0.010, 0.662], [0.532, 0.543, 0.867], [0.971, 0.398, 0.732]]}


Record 6
{"formula": "Sr2CdTcO6", "functional": "PBE-GGA", "state": "relaxed", "volume_a3_per_cell": 140.5, "total_magnetization_mub_per_fu": 1.01, "spacegroup": "P-1 (2)", "dos_ef_per_ev_atom": 0.54, "cell": [[5.758, 0.000, 0.000], [2.725, 5.076, 0.000], [2.725, 1.630, 4.808]], "species": ["Sr", "Sr", "Cd", "Tc", "O", "O", "O", "O", "O", "O"], "frac_coords": [[0.245, 0.244, 0.244], [0.755, 0.756, 0.756], [0.500, 0.500, 0.500], [0.000, 0.000, 0.000], [0.149, 0.783, 0.307], [0.218, 0.693, 0.851], [0.307, 0.149, 0.784], [0.693, 0.851, 0.216], [0.782, 0.307, 0.149], [0.851, 0.217, 0.693]]}


Record 7
{"formula": "Tm2BiAs", "functional": "PBE-GGA", "state": "relaxed", "volume_a3_per_cell": 109.4, "total_magnetization_mub_per_fu": 0.00, "spacegroup": "R3m (160)", "dos_ef_per_ev_atom": 0.32, "cell": [[2.082, 1.202, 7.282], [-2.082, 1.202, 7.282], [0.000, -2.404, 7.282]], "species": ["Tm", "Tm", "Bi", "As"], "frac_coords": [[0.000, 0.000, 0.000], [0.186, 0.186, 0.186], [0.426, 0.426, 0.426], [0.596, 0.596, 0.596]]}


Record 8
{"formula": "NiPdSN2", "functional": "PBE-GGA", "state": "relaxed", "volume_a3_per_cell": 85.2, "total_magnetization_mub_per_fu": 0.24, "spacegroup": "P4/mmm (123)", "dos_ef_per_ev_atom": 0.73, "cell": [[3.457, 0.000, 0.000], [0.000, 3.457, 0.000], [0.000, 0.000, 7.125]], "species": ["Ni", "Pd", "S", "N", "N"], "frac_coords": [[0.000, 0.000, 0.000], [0.500, 0.500, 0.500], [0.000, 0.000, 0.500], [0.000, 0.500, 0.000], [0.500, 0.000, 0.000]]}


Record 9
{"formula": "SbTeAu", "functional": "PBE-GGA", "state": "relaxed", "volume_a3_per_cell": 81.5, "total_magnetization_mub_per_fu": 0.00, "spacegroup": "I4mm (107)", "dos_ef_per_ev_atom": 0.43, "cell": [[-1.907, 1.907, 5.605], [1.907, -1.907, 5.605], [1.907, 1.907, -5.605]], "species": ["Sb", "Te", "Au"], "frac_coords": [[0.000, 0.000, 0.000], [0.255, 0.255, 0.000], [0.597, 0.597, 0.000]]}


Record 10
{"formula": "Sb2PbS2", "functional": "PBE-GGA", "state": "relaxed", "volume_a3_per_cell": 293.6, "total_magnetization_mub_per_fu": 0.00, "spacegroup": "P4/mbm (127)", "dos_ef_per_ev_atom": 0.21, "cell": [[9.065, 0.000, 0.000], [0.000, 9.065, 0.000], [0.000, 0.000, 3.572]], "species": ["Sb", "Sb", "Sb", "Sb", "Pb", "Pb", "S", "S", "S", "S"], "frac_coords": [[0.230, 0.270, 0.000], [0.270, 0.770, 0.000], [0.730, 0.230, 0.000], [0.770, 0.730, 0.000], [0.000, 0.000, 0.000], [0.500, 0.500, 0.000], [0.134, 0.634, 0.500], [0.366, 0.134, 0.500], [0.634, 0.866, 0.500], [0.866, 0.366, 0.500]]}


Record 11
{"formula": "RbGaS3", "functional": "PBE-GGA", "state": "relaxed", "volume_a3_per_cell": 209.2, "total_magnetization_mub_per_fu": 4.00, "spacegroup": "Pm-3m (221)", "dos_ef_per_ev_atom": 1.37, "cell": [[5.937, 0.000, 0.000], [0.000, 5.937, 0.000], [0.000, 0.000, 5.937]], "species": ["Rb", "Ga", "S", "S", "S"], "frac_coords": [[0.000, 0.000, 0.000], [0.500, 0.500, 0.500], [0.000, 0.000, 0.500], [0.000, 0.500, 0.000], [0.500, 0.000, 0.000]]}


Record 12
{"formula": "LiTeRh2", "functional": "PBE-GGA", "state": "relaxed", "volume_a3_per_cell": 64.8, "total_magnetization_mub_per_fu": 0.00, "spacegroup": "P2/m (10)", "dos_ef_per_ev_atom": 0.80, "cell": [[2.965, 0.000, 0.000], [0.000, 4.490, 0.000], [-0.014, 0.000, 4.867]], "species": ["Li", "Te", "Rh", "Rh"], "frac_coords": [[0.000, 0.000, 0.000], [0.500, 0.000, 0.500], [0.270, 0.500, 0.759], [0.730, 0.500, 0.241]]}


Record 13
{"formula": "LiMnBe2", "functional": "PBE-GGA", "state": "relaxed", "volume_a3_per_cell": 39.7, "total_magnetization_mub_per_fu": 0.00, "spacegroup": "Cmm2 (35)", "dos_ef_per_ev_atom": 0.32, "cell": [[1.393, -1.823, 0.000], [1.393, 1.823, 0.000], [0.000, 0.000, 7.819]], "species": ["Li", "Mn", "Be", "Be"], "frac_coords": [[0.000, 0.000, 0.000], [0.500, 0.500, 0.278], [0.000, 0.000, 0.509], [0.500, 0.500, 0.729]]}


Record 14
{"formula": "PmEr12Pb7", "functional": "PBE-GGA", "state": "relaxed", "volume_a3_per_cell": 608.2, "total_magnetization_mub_per_fu": 0.00, "spacegroup": "R-3m (166)", "dos_ef_per_ev_atom": 1.21, "cell": [[7.679, 4.434, 2.977], [-7.679, 4.434, 2.977], [0.000, -8.867, 2.977]], "species": ["Pm", "Er", "Er", "Er", "Er", "Er", "Er", "Er", "Er", "Er", "Er", "Er", "Er", "Pb", "Pb", "Pb", "Pb", "Pb", "Pb", "Pb"], "frac_coords": [[0.000, 0.000, 0.000], [0.000, 0.278, 0.722], [0.000, 0.722, 0.278], [0.168, 0.500, 0.500], [0.278, 0.000, 0.722], [0.278, 0.722, 0.000], [0.500, 0.168, 0.500], [0.500, 0.500, 0.168], [0.500, 0.500, 0.832], [0.500, 0.832, 0.500], [0.722, 0.000, 0.278], [0.722, 0.278, 0.000], [0.832, 0.500, 0.500], [0.132, 0.132, 0.441], [0.132, 0.441, 0.132], [0.441, 0.132, 0.132], [0.500, 0.500, 0.500], [0.559, 0.868, 0.868], [0.868, 0.559, 0.868], [0.868, 0.868, 0.559]]}


Record 15
{"formula": "LaPIO2", "functional": "PBE-GGA", "state": "relaxed", "volume_a3_per_cell": 94.4, "total_magnetization_mub_per_fu": 0.00, "spacegroup": "P4/mmm (123)", "dos_ef_per_ev_atom": 0.62, "cell": [[4.267, 0.000, 0.000], [0.000, 4.267, 0.000], [0.000, 0.000, 5.183]], "species": ["La", "P", "I", "O", "O"], "frac_coords": [[0.000, 0.000, 0.000], [0.500, 0.500, 0.500], [0.500, 0.500, 0.000], [0.000, 0.500, 0.500], [0.500, 0.000, 0.500]]}


Record 16
{"formula": "Sr2AlSbTe5", "functional": "PBE-GGA", "state": "relaxed", "volume_a3_per_cell": 612.0, "total_magnetization_mub_per_fu": 0.00, "spacegroup": "Cmc2_1 (36)", "cell": [[2.207, -10.028, 0.000], [2.207, 10.028, 0.000], [0.000, 0.000, 13.823]], "species": ["Sr", "Sr", "Sr", "Sr", "Al", "Al", "Sb", "Sb", "Te", "Te", "Te", "Te", "Te", "Te", "Te", "Te", "Te", "Te"], "frac_coords": [[0.112, 0.888, 0.500], [0.125, 0.875, 0.137], [0.875, 0.125, 0.637], [0.888, 0.112, 0.000], [0.436, 0.564, 0.252], [0.564, 0.436, 0.752], [0.210, 0.790, 0.846], [0.790, 0.210, 0.346], [0.045, 0.955, 0.862], [0.281, 0.719, 0.497], [0.312, 0.688, 0.184], [0.356, 0.644, 0.821], [0.498, 0.502, 0.590], [0.502, 0.498, 0.090], [0.644, 0.356, 0.321], [0.688, 0.312, 0.684], [0.719, 0.281, 0.997], [0.955, 0.045, 0.362]]}


Record 17
{"formula": "In3HO", "functional": "PBE-GGA", "state": "relaxed", "volume_a3_per_cell": 119.0, "total_magnetization_mub_per_fu": 0.00, "spacegroup": "Pm-3m (221)", "dos_ef_per_ev_atom": 0.38, "cell": [[4.919, 0.000, 0.000], [0.000, 4.919, 0.000], [0.000, 0.000, 4.919]], "species": ["In", "In", "In", "H", "O"], "frac_coords": [[0.000, 0.000, 0.500], [0.000, 0.500, 0.000], [0.500, 0.000, 0.000], [0.500, 0.500, 0.500], [0.000, 0.000, 0.000]]}


Record 18
{"formula": "HoTm4Sb5", "functional": "PBE-GGA", "state": "relaxed", "volume_a3_per_cell": 289.4, "total_magnetization_mub_per_fu": 0.00, "spacegroup": "Immm (71)", "dos_ef_per_ev_atom": 0.19, "cell": [[-2.171, 3.070, 10.853], [2.171, -3.070, 10.853], [2.171, 3.070, -10.853]], "species": ["Ho", "Tm", "Tm", "Tm", "Tm", "Sb", "Sb", "Sb", "Sb", "Sb"], "frac_coords": [[0.000, 0.000, 0.000], [0.200, 0.200, 0.000], [0.400, 0.400, 0.000], [0.600, 0.600, 0.000], [0.800, 0.800, 0.000], [0.101, 0.601, 0.500], [0.300, 0.800, 0.500], [0.500, 0.000, 0.500], [0.700, 0.200, 0.500], [0.899, 0.399, 0.500]]}


Record 19
{"formula": "CsHg2Se2", "functional": "PBE-GGA", "state": "relaxed", "volume_a3_per_cell": 434.3, "total_magnetization_mub_per_fu": 0.00, "spacegroup": "I4_1/amd (141)", "dos_ef_per_ev_atom": 0.90, "cell": [[-3.867, 3.867, 7.260], [3.867, -3.867, 7.260], [3.867, 3.867, -7.260]], "species": ["Cs", "Cs", "Hg", "Hg", "Hg", "Hg", "Se", "Se", "Se", "Se"], "frac_coords": [[0.375, 0.625, 0.750], [0.625, 0.375, 0.250], [0.000, 0.000, 0.000], [0.000, 0.000, 0.500], [0.000, 0.500, 0.000], [0.500, 0.000, 0.500], [0.119, 0.369, 0.750], [0.369, 0.119, 0.250], [0.631, 0.881, 0.750], [0.881, 0.631, 0.250]]}


Record 20
{"formula": "Rb3TbPm3Te8", "functional": "PBE-GGA", "state": "relaxed", "volume_a3_per_cell": 621.6, "total_magnetization_mub_per_fu": 0.00, "spacegroup": "R-3m (166)", "dos_ef_per_ev_atom": 0.55, "cell": [[4.505, 2.601, 8.842], [-4.505, 2.601, 8.842], [0.000, -5.201, 8.842]], "species": ["Rb", "Rb", "Rb", "Tb", "Pm", "Pm", "Pm", "Te", "Te", "Te", "Te", "Te", "Te", "Te", "Te"], "frac_coords": [[0.000, 0.500, 0.500], [0.500, 0.000, 0.500], [0.500, 0.500, 0.000], [0.500, 0.500, 0.500], [0.000, 0.000, 0.500], [0.000, 0.500, 0.000], [0.500, 0.000, 0.000], [0.235, 0.235, 0.235], [0.237, 0.732, 0.732], [0.268, 0.268, 0.763], [0.268, 0.763, 0.268], [0.732, 0.237, 0.732], [0.732, 0.732, 0.237], [0.763, 0.268, 0.268], [0.765, 0.765, 0.765]]}


no.,E_tot (eV per atom)
1,-2.864
2,-5.087
3,-5.867
4,-5.698
5,-3.681
6,-6.394
7,-5.397
8,-5.188
9,-3.353
10,-4.063
11,-2.269
12,-5.025
13,-4.473
14,-4.523
15,-4.989
16,-3.914
17,-3.061
18,-5.385
19,-2.064
20,-4.453